VASP calculation (PBE) on a geometry-optimized MgAu structure.

Summary:
Size of the total moment: 0.00 μB/f.u.
ρ: 10.01 g/cm³
Volume: 18.35 Å³ per atom
ΔE_f: -51.42 kJ per mole of atoms
Crystal system: triclinic
Density of states at the Fermi level: 1.3 states/eV per cell
Raw total energy: -2.97 eV/atom
Space-group type: P-1 (2)

Cell: 5.226 5.936 5.946 Å, 147.00 131.94 61.03°
Fractional coordinates of all 4 atoms:
Mg1 0.640 0.260 0.378
Mg2 0.443 0.490 0.955
Au1 0.960 0.999 0.958
Au2 0.124 0.751 0.376